[1]
Here is a geometry-optimized Ta3CoBi structure from Alexandria via LeMat-Bulk. Energies are from PBE.

POSCAR file:
```
Ta3CoBi
1.0
5.077 0.000 0.000
0.000 5.077 0.000
0.000 0.000 5.077
Ta Co Bi
3 1 1
Direct
0.000 0.000 0.500
0.500 0.000 0.000
0.000 0.500 0.000
0.500 0.500 0.500
0.000 0.000 0.000
```

## Properties
Calculated volume ... 131 Å³/f.u.
Energy above the most stable polymorph in this dataset ... 2.135 eV per atom
M_tot ... 0.00 μB/cell
Energy of formation from the pure elements ... 2.80 eV/atom

---

[2]
Here is a geometry-optimized Pr12YTm3 structure from Alexandria via LeMat-Bulk. Energies are from PBE.

POSCAR file:
```
Pr12YTm3
1.0
-3.618 -3.033 2.136
-0.025 -2.963 -4.251
14.803 -11.883 8.197
Pr Tm Y
12 3 1
Direct
0.500 0.500 0.500
0.500 0.000 0.625
0.000 0.500 0.375
0.500 0.000 0.375
0.000 0.500 0.874
0.000 0.500 0.625
0.000 0.500 0.126
0.500 0.000 0.874
0.500 0.000 0.126
0.500 0.500 0.000
0.500 0.500 0.749
0.500 0.500 0.251
0.000 0.000 0.500
0.000 0.000 0.251
0.000 0.000 0.749
0.000 0.000 0.000
```

## Properties
Calculated volume ... 555 Å³/f.u.
M_tot ... 0.00 μB/cell
Energy of formation from the pure elements ... 0.01 eV/atom

---

[3]
Here is a geometry-optimized ZnCu2Pt4 structure from Alexandria via LeMat-Bulk. Energies are from PBE.

POSCAR file:
```
ZnCu2Pt4
1.0
4.668 0.000 0.000
0.000 4.668 0.000
-2.334 -2.334 5.328
Pt Zn Cu
4 1 2
Direct
0.750 0.250 0.500
0.250 0.750 0.500
0.500 0.000 0.000
0.000 0.500 0.000
0.000 0.000 0.000
0.371 0.371 0.741
0.629 0.629 0.259
```

## Properties
Calculated volume ... 116 Å³/f.u.
M_tot ... 0.00 μB/cell
Energy of formation from the pure elements ... 0.22 eV/atom

---

[4]
Here is a geometry-optimized PmTh2Mo structure from Alexandria via LeMat-Bulk. Energies are from PBE.

POSCAR file:
```
PmTh2Mo
1.0
-2.471 -1.918 1.583
0.917 -2.666 2.083
-0.283 5.300 9.860
Th Mo Pm
2 1 1
Direct
0.900 0.900 0.301
0.100 0.100 0.699
0.500 0.500 0.500
0.000 0.000 0.000
```

## Properties
Calculated volume ... 117 Å³/f.u.
Energy above the most stable polymorph in this dataset ... 0.290 eV per atom
M_tot ... 0.00 μB/cell
Energy of formation from the pure elements ... 0.46 eV/atom

---

[5]
Here is a geometry-optimized La5PmBi4 structure from Alexandria via LeMat-Bulk. Energies are from PBE.

POSCAR file:
```
La5PmBi4
1.0
-4.318 0.940 1.151
-1.455 -8.773 1.708
5.292 3.337 8.072
La Bi Pm
5 4 1
Direct
0.500 0.500 0.000
0.164 0.824 0.328
0.826 0.654 0.651
0.836 0.176 0.672
0.174 0.346 0.349
0.332 0.915 0.664
0.006 0.252 0.013
0.668 0.085 0.336
0.994 0.748 0.987
0.500 0.000 0.000
```

## Properties
Calculated volume ... 398 Å³/f.u.
M_tot ... 0.00 μB/cell
Energy of formation from the pure elements ... -0.65 eV/atom

---

[6]
Here is a geometry-optimized CsOF3 structure from Alexandria via LeMat-Bulk. Energies are from PBE.

POSCAR file:
```
CsOF3
1.0
4.849 0.000 0.000
0.000 4.849 0.000
2.425 2.425 9.383
Cs F O
2 6 2
Direct
0.853 0.353 0.295
0.647 0.147 0.705
0.746 0.746 0.507
0.673 0.940 0.121
0.060 0.327 0.879
0.206 0.940 0.121
0.060 0.794 0.879
0.254 0.254 0.493
0.250 0.750 0.500
0.000 0.000 0.000
```

## Properties
Calculated volume ... 110 Å³/f.u.
Energy above the most stable polymorph in this dataset ... 0.486 eV per atom
M_tot ... 3.73 μB/cell
ΔE_f (raw) ... -0.73 eV per atom

---

Look up the calculated volume of the fourth one.
117 Å³/f.u.

---

Which of these has the highest calculated volume?
Pr12YTm3

---

Among the records above, which one has the highest calculated volume?
Pr12YTm3